Here is crystalline Li2MgNp3N6 at its relaxed geometry from Alexandria via LeMat-Bulk. Energies are from GGA-PBE.

a b c (Å): 3.409 6.033 7.051
angles (deg): 88.65 103.99 90.00
Site moments in Bohr magnetons follow the coordinates.
Fractional coordinates of all 12 atoms:
Li 0.869 0.770 0.739  0.02
Li 0.131 0.230 0.261  0.02
Mg 0.500 0.000 0.000  0.00
Np 0.500 0.500 0.000  2.27
Np 0.803 0.242 0.607  2.73
Np 0.197 0.758 0.393  2.73
N 0.333 0.998 0.665  -0.17
N 0.662 0.502 0.325  -0.16
N 0.667 0.002 0.335  -0.17
N 0.984 0.261 0.968  -0.12
N 0.016 0.739 0.032  -0.12
N 0.338 0.498 0.675  -0.16

Energy relative to the elements, uncorrected, kcal/mol of atoms: -22.009
Final energy, eV per atom: -8.804

Here is crystalline Cd4InHg7 at its relaxed geometry from Alexandria via LeMat-Bulk. Energies are from GGA-PBE.

a b c (Å): 3.439 7.453 13.840
angles (deg): 116.68 90.00 103.34
Fractional coordinates of all 12 atoms:
Cd 0.588 0.175 0.797
Cd 0.361 0.723 0.185
Cd 0.973 0.947 0.016
Cd 0.234 0.469 0.487
In 0.945 0.890 0.572
Hg 0.777 0.554 0.315
Hg 0.194 0.388 0.679
Hg 0.281 0.561 0.938
Hg 0.657 0.314 0.049
Hg 0.898 0.796 0.774
Hg 0.065 0.129 0.253
Hg 0.527 0.054 0.435

Final energy, eV per atom: -0.688
Energy of formation from the pure elements, eV/atom: 0.022

Here is crystalline Cs4Ac3InTe8 at its relaxed geometry from Alexandria via LeMat-Bulk. Energies are from GGA-PBE.

a b c (Å): 9.633 10.589 9.638
angles (deg): 117.09 119.98 90.00
Fractional coordinates of all 16 atoms:
Cs 0.500 0.000 0.000
Cs 0.500 0.000 0.500
Cs 0.000 0.000 0.000
Cs 0.000 0.000 0.500
Ac 0.500 0.500 0.000
Ac 0.500 0.500 0.500
Ac 0.000 0.500 0.500
In 0.000 0.500 0.000
Te 0.222 0.695 0.973
Te 0.223 0.696 0.445
Te 0.265 0.295 0.530
Te 0.751 0.695 0.973
Te 0.249 0.305 0.027
Te 0.735 0.705 0.470
Te 0.777 0.304 0.555
Te 0.778 0.305 0.027

Energy relative to the elements, uncorrected, kcal/mol of atoms: -28.616
Final energy, eV per atom: -3.967